[1]
VASP calculation (PBE) on a relaxed AlH2W crystal.

Summary:
D(E_F) = 0.59 states/eV per atom
DFT total energy = -4.951 eV per atom

Cell lengths 3.7382, 3.7382, 3.7382 Å; angles 60.00, 60.00, 60.00 degrees
Closest atoms and distances in Å follow each position.
Element x y z (fractional)
Al 0.0000 0.0000 0.0000  8 H 2.29
H 0.2500 0.2500 0.2500  4 W 2.29, 4 Al 2.29
H 0.7500 0.7500 0.7500  4 W 2.29, 4 Al 2.29
W 0.5000 0.5000 0.5000  8 H 2.29


[2]
VASP calculation (PBE) on a relaxed Cs2U2HgSe6 crystal.

Summary:
D(E_F) = 1.15 states/eV per atom
E_form (uncorrected) = -1032 meV/atom

Cell lengths 7.5945, 7.5945, 8.8304 Å; angles 96.37, 96.37, 124.46 degrees
Closest atoms and distances in Å follow each position.
Element x y z (fractional)
Cs 0.1505 0.8495 0.0000  6 Se 3.58-3.72
Cs 0.8495 0.1505 0.0000  6 Se 3.58-3.72
U 0.3318 0.6682 0.5000  6 Se 2.79-2.97
U 0.6682 0.3318 0.5000  6 Se 2.79-2.97
Hg 0.0000 0.0000 0.5000  2 Se 2.60
Se 0.0505 0.4333 0.6919  2 U 2.79-2.83
Se 0.2638 0.2638 0.3388  1 Hg 2.60
Se 0.4333 0.0505 0.6919  2 U 2.79-2.83
Se 0.5667 0.9495 0.3081  2 U 2.79-2.83
Se 0.7362 0.7362 0.6612  1 Hg 2.60
Se 0.9495 0.5667 0.3081  2 U 2.79-2.83


[3]
VASP calculation (PBE) on a relaxed Tb5NdPd2 crystal.

Summary:
D(E_F) = 1.02 states/eV per atom
DFT formation energy = -0.362 eV/atom

Cell lengths 6.6967, 6.6967, 18.2851 Å; angles 90.00, 90.00, 146.41 degrees
Closest atoms and distances in Å follow each position.
Element x y z (fractional)
Tb 0.0546 0.9454 0.6045  2 Pd 3.17, 6 Tb 3.40-3.53
Tb 0.0546 0.9454 0.8955  2 Pd 3.17, 6 Tb 3.40-3.53
Tb 0.3473 0.6527 0.5419  2 Pd 2.79
Tb 0.3473 0.6527 0.9581  2 Pd 2.79
Tb 0.3797 0.6203 0.2500  2 Pd 2.79
Tb 0.6203 0.3797 0.7500  2 Pd 2.79
Tb 0.6527 0.3473 0.0419  2 Pd 2.79
Tb 0.6527 0.3473 0.4581  2 Pd 2.79
Tb 0.9454 0.0546 0.1045  2 Pd 3.17, 6 Tb 3.40-3.53
Tb 0.9454 0.0546 0.3955  2 Pd 3.17, 6 Tb 3.40-3.53
Nd 0.3546 0.6454 0.7500  4 Pd 3.28, 3 Tb 3.41-3.57
Nd 0.6454 0.3546 0.2500  4 Pd 3.28, 3 Tb 3.41-3.57
Pd 0.2525 0.7475 0.1264  3 Tb 2.79
Pd 0.2525 0.7475 0.3736  3 Tb 2.79
Pd 0.7475 0.2525 0.6264  3 Tb 2.79
Pd 0.7475 0.2525 0.8736  3 Tb 2.79


[4]
VASP calculation (PBE) on a relaxed Ta2NiAu crystal.

Summary:
D(E_F) = 1.16 states/eV per atom
DFT formation energy = -0.007 eV/atom

Cell lengths 2.8177, 4.5563, 5.0651 Å; angles 90.00, 93.68, 90.00 degrees
Closest atoms and distances in Å follow each position.
Element x y z (fractional)
Ta 0.0000 0.0000 0.0000  4 Ni 2.71-3.01, 4 Au 2.77-2.91, 4 Ta 2.82-2.89
Ta 0.1434 0.5000 0.6625  4 Ni 2.69-2.90, 3 Au 2.77-2.85, 4 Ta 2.82-2.89
Ni 0.5524 0.0000 0.5107  7 Ta 2.69-2.95, 2 Au 2.81, 2 Ni 2.82
Au 0.5733 0.5000 0.1864  7 Ta 2.77-2.91, 2 Ni 2.81, 2 Au 2.82


[5]
VASP calculation (PBE) on a relaxed BiSeO2F crystal.

Summary:
D(E_F) = 0.45 states/eV per atom
E_form (uncorrected) = -387 meV/atom

Cell lengths 3.9522, 3.9522, 4.8756 Å; angles 90.00, 90.00, 90.00 degrees
Closest atoms and distances in Å follow each position.
Element x y z (fractional)
Bi 0.0000 0.0000 0.0000  4 F 2.79
Se 0.5000 0.5000 0.5000  4 O 1.98
O 0.0000 0.5000 0.5000  2 Se 1.98
O 0.5000 0.0000 0.5000  2 Se 1.98
F 0.5000 0.5000 0.0000  2 Se 2.44


[6]
VASP calculation (PBE) on a relaxed CdInSb2 crystal.

Summary:
D(E_F) = 0.43 states/eV per atom
E_form (uncorrected) = 114 meV/atom

Cell lengths 6.1302, 6.1302, 3.2698 Å; angles 96.81, 96.81, 116.50 degrees
Closest atoms and distances in Å follow each position.
Element x y z (fractional)
Cd 0.0000 0.0000 0.0000  2 In 3.23, 2 Cd 3.27, 4 Sb 3.30
In 0.5000 0.5000 0.0000  2 Cd 3.23, 2 In 3.27, 4 Sb 3.30
Sb 0.0000 0.5000 0.5000  4 Sb 3.23-3.27, 2 Cd 3.30, 2 In 3.30
Sb 0.5000 0.0000 0.5000  4 Sb 3.23-3.27, 2 Cd 3.30, 2 In 3.30


[7]
VASP calculation (PBE) on a relaxed TiMn2HRu crystal.

Summary:
D(E_F) = 0.93 states/eV per atom
DFT total energy = -7.926 eV per atom

Cell lengths 3.6586, 3.6586, 4.1370 Å; angles 90.00, 90.00, 90.00 degrees
Closest atoms and distances in Å follow each position.
Element x y z (fractional)
Ti 0.0000 0.0000 0.0000  2 H 2.07
Mn 0.0000 0.5000 0.5000  2 H 1.83
Mn 0.5000 0.0000 0.5000  2 H 1.83
H 0.0000 0.0000 0.5000  4 Mn 1.83
Ru 0.5000 0.5000 0.0000  4 Ti 2.59, 8 Mn 2.76


[8]
VASP calculation (PBE) on a relaxed Dy2NiGe crystal.

Summary:
D(E_F) = 0.32 states/eV per atom
DFT formation energy = -0.680 eV/atom

Cell lengths 5.8021, 4.1381, 7.7399 Å; angles 90.00, 110.40, 90.00 degrees
Closest atoms and distances in Å follow each position.
Element x y z (fractional)
Dy 0.2199 0.2500 0.4447  3 Ni 2.86-3.05, 3 Ge 2.99-3.01
Dy 0.2239 0.2500 0.9110  3 Ni 2.86-3.03, 4 Ge 2.99-3.05
Dy 0.7761 0.7500 0.0890  3 Ni 2.86-3.03, 4 Ge 2.99-3.05
Dy 0.7801 0.7500 0.5553  3 Ni 2.86-3.05, 3 Ge 2.99-3.01
Ni 0.3685 0.7500 0.7157  2 Ge 2.62, 4 Dy 2.86
Ni 0.6315 0.2500 0.2843  2 Ge 2.62, 4 Dy 2.86
Ge 0.3361 0.7500 0.2082  2 Ni 2.62
Ge 0.6639 0.2500 0.7918  2 Ni 2.62


[9]
VASP calculation (PBE) on a relaxed CaMg6C crystal.

Summary:
D(E_F) = 0.57 states/eV per atom
DFT formation energy = 0.286 eV/atom

Cell lengths 3.2833, 9.8306, 9.8306 Å; angles 35.62, 90.00, 90.00 degrees
Closest atoms and distances in Å follow each position.
Element x y z (fractional)
Ca 0.0000 0.0000 0.0000  2 Mg 3.18, 2 Ca 3.28
Mg 0.0000 0.0331 0.5735  2 C 2.28
Mg 0.0000 0.5559 0.5559  8 Mg 3.02-3.28, 2 Ca 3.18
Mg 0.0000 0.5735 0.0331  2 C 2.28
Mg 0.5000 0.4204 0.4204  8 Mg 3.02-3.28
Mg 0.5000 0.4199 0.9180  1 C 2.31
Mg 0.5000 0.9180 0.4199  1 C 2.31
C 0.5000 0.7627 0.7627  6 Mg 2.28-2.31


[10]
VASP calculation (PBE) on a relaxed As2RhAu crystal.

Summary:
D(E_F) = 0.50 states/eV per atom
DFT formation energy = -0.074 eV/atom

Cell lengths 4.5662, 4.5662, 5.8247 Å; angles 118.98, 118.98, 46.70 degrees
Closest atoms and distances in Å follow each position.
Element x y z (fractional)
As 0.0000 0.0000 0.0000  2 Rh 2.53, 3 Au 2.65-2.72
As 0.1196 0.1196 0.5804  3 Rh 2.52, 1 Au 2.57
Rh 0.4466 0.4466 0.6641  5 As 2.52-2.53
Au 0.7713 0.7713 0.2009  4 As 2.57-2.72, 1 Rh 2.86


[11]
VASP calculation (PBE) on a relaxed PmIn3Ni2 crystal.

Summary:
D(E_F) = 0.58 states/eV per atom
DFT formation energy = -0.285 eV/atom

Cell lengths 6.5133, 6.5133, 5.7191 Å; angles 90.00, 90.00, 84.90 degrees
Closest atoms and distances in Å follow each position.
Element x y z (fractional)
Pm 0.1089 0.8911 0.7500  4 Ni 3.09, 3 In 3.19-3.41, 2 Pm 3.44
Pm 0.8911 0.1089 0.2500  4 Ni 3.09, 3 In 3.19-3.41, 2 Pm 3.44
In 0.0608 0.5981 0.2500  4 Ni 2.65-2.83
In 0.4019 0.9392 0.2500  4 Ni 2.65-2.83
In 0.4722 0.5278 0.7500  4 Ni 2.67, 2 In 2.90
In 0.5278 0.4722 0.2500  4 Ni 2.67, 2 In 2.90
In 0.5981 0.0608 0.7500  4 Ni 2.65-2.83
In 0.9392 0.4019 0.7500  4 Ni 2.65-2.83
Ni 0.2672 0.2672 0.0000  6 In 2.65-2.83, 2 Ni 2.86
Ni 0.2672 0.2672 0.5000  6 In 2.65-2.83, 2 Ni 2.86
Ni 0.7328 0.7328 0.0000  6 In 2.65-2.83, 2 Ni 2.86
Ni 0.7328 0.7328 0.5000  6 In 2.65-2.83, 2 Ni 2.86


[12]
VASP calculation (PBE) on a relaxed ThCoSe crystal.

Summary:
D(E_F) = 0.94 states/eV per atom
E_form (uncorrected) = -942 meV/atom

Cell lengths 4.1191, 4.1191, 3.9515 Å; angles 90.00, 90.00, 120.00 degrees
Closest atoms and distances in Å follow each position.
Element x y z (fractional)
Th 0.0000 0.0000 0.0000  6 Co 2.97-3.22, 6 Se 3.08-3.11
Co 0.6667 0.3333 0.4496  3 Se 2.39
Se 0.3333 0.6667 0.5061  3 Co 2.39


[13]
VASP calculation (PBE) on a relaxed Li3SnBi crystal.

Summary:
D(E_F) = 0.52 states/eV per atom
DFT formation energy = -0.189 eV/atom

Cell lengths 8.7406, 8.7406, 5.0372 Å; angles 90.00, 90.00, 143.04 degrees
Closest atoms and distances in Å follow each position.
Element x y z (fractional)
Li 0.0000 0.0000 0.0000  2 Li 2.52, 2 Bi 2.76
Li 0.0000 0.0000 0.5000  2 Li 2.52, 2 Bi 2.76
Li 0.0478 0.4448 0.2500  4 Li 2.73-3.04, 1 Sn 2.83, 3 Bi 2.90-2.98
Li 0.4448 0.0478 0.7500  4 Li 2.73-3.04, 1 Sn 2.83, 3 Bi 2.90-2.98
Li 0.5552 0.9522 0.2500  4 Li 2.73-3.04, 1 Sn 2.83, 3 Bi 2.90-2.98
Li 0.9522 0.5552 0.7500  4 Li 2.73-3.04, 1 Sn 2.83, 3 Bi 2.90-2.98
Sn 0.4494 0.5506 0.2500  6 Li 2.83-3.16, 2 Sn 3.03
Sn 0.5506 0.4494 0.7500  6 Li 2.83-3.16, 2 Sn 3.03
Bi 0.1482 0.8518 0.2500  8 Li 2.76-2.98
Bi 0.8518 0.1482 0.7500  8 Li 2.76-2.98